VASP calculation (PBE+U) on a geometry-optimized KPuFe2O6 structure.

Geometry as POSCAR:
```
KPuFe2O6
1.0
-3.943 -3.363 2.596
0.832 -5.426 0.178
1.937 -2.656 5.273
O Fe K Pu
6 2 1 1
Cartesian
-2.822 -6.962 3.719
0.948 -7.113 5.132
-1.094 -5.413 5.707
1.384 -4.363 4.805
-1.717 -4.031 2.621
-0.059 -6.764 2.348
-1.874 -5.833 7.569
-1.217 -5.723 3.666
-1.319 -8.518 5.374
-0.962 -2.932 1.033
```

Output
As for the total energy: -7.479 eV per atom.